Here is a relaxed structure of Ba2LiAgH6 from the Alexandria database. Energies are from GGA-PBE.

Uncorrected energy: -3.254 eV per atom

Cell lengths 8.1432, 8.1432, 8.1432 Å; angles 90.00, 90.00, 90.00 degrees
Space group Fm-3m (No. 225)
Unique sites:
Ba 0.2500 0.2500 0.2500 [8 per cell]
Li 0.0000 0.0000 0.0000 [4 per cell]
Ag 0.0000 0.0000 0.5000 [4 per cell]
H 0.0000 0.0000 0.2469 [24 per cell]

Here is a relaxed structure of HfTiNb2F from the Alexandria database. Energies are from GGA-PBE.

ΔE_f (raw): 0.213 eV per atom

Cell lengths 5.0424, 5.0424, 3.7791 Å; angles 90.00, 90.00, 90.00 degrees
Space group P4/mmm (No. 123)
Unique sites:
Hf 0.0000 0.0000 0.0000 [1 per cell]
Ti 0.5000 0.5000 0.5000 [1 per cell]
Nb 0.0000 0.5000 0.5000 [2 per cell]
F 0.5000 0.5000 0.0000 [1 per cell]

Here is a relaxed structure of BaNpF5 from the Alexandria database. Energies are from GGA-PBE.

ΔE_f (raw): -3.524 eV per atom

Cell lengths 8.2272, 6.9025, 9.0640 Å; angles 90.00, 98.07, 90.00 degrees
Space group C2/c (No. 15)
Unique sites:
Ba 0.0000 0.0037 0.2500 [4 per cell]
Np 0.0000 0.5000 0.0000 [4 per cell]
F 0.0000 0.3993 0.2500 [4 per cell]
F 0.0938 0.1829 0.0057 [8 per cell]
F 0.2060 0.3343 0.6470 [8 per cell]

Here is a relaxed structure of Cd2HgOs from the Alexandria database. Energies are from GGA-PBE.

Energy of formation from the pure elements: 0.470 eV per atom

Cell lengths 13.8487, 2.8547, 4.7578 Å; angles 90.00, 109.94, 90.00 degrees
Space group C2/m (No. 12)
Unique sites:
Cd 0.1876 0.0000 0.1880 [4 per cell]
Hg 0.0000 0.0000 0.5000 [2 per cell]
Os 0.0000 0.5000 0.0000 [2 per cell]

Here is a relaxed structure of CoSn3Te from the Alexandria database. Energies are from GGA-PBE.

Energy relative to the lowest polymorph listed for this composition: 0 meV per atom
ΔE_f (raw): -0.096 eV per atom

Cell lengths 6.2844, 5.8265, 7.1609 Å; angles 90.00, 106.06, 90.00 degrees
Space group P2_1 (No. 4)
Unique sites:
Co 0.0130 0.0000 0.2554 [2 per cell]
Sn 0.1628 0.6907 0.5057 [2 per cell]
Sn 0.1748 0.7785 0.0189 [2 per cell]
Sn 0.3276 0.2695 0.8936 [2 per cell]
Te 0.3358 0.2806 0.3223 [2 per cell]

Here is a relaxed structure of SiB from the Alexandria database. Energies are from GGA-PBE.

Energy relative to the lowest polymorph listed for this composition: 369 meV per atom
ΔE_f (raw): 0.568 eV per atom

Cell lengths 3.0444, 3.0444, 4.3418 Å; angles 90.00, 90.00, 90.00 degrees
Space group I4/mmm (No. 139)
Unique sites:
Si 0.0000 0.0000 0.0000 [2 per cell]
B 0.0000 0.0000 0.5000 [2 per cell]

Here is a relaxed structure of KCd3 from the Alexandria database. Energies are from GGA-PBE.

Energy of formation from the pure elements: -0.072 eV per atom

Cell lengths 7.8404, 5.2434, 11.4472 Å; angles 90.00, 90.00, 90.00 degrees
Space group Pnma (No. 62)
Unique sites:
K 0.2356 0.2500 0.1719 [4 per cell]
Cd 0.0507 0.7500 0.3874 [4 per cell]
Cd 0.0728 0.2500 0.8694 [4 per cell]
Cd 0.2332 0.7500 0.9684 [4 per cell]

Here is a relaxed structure of LaPr6Th from the Alexandria database. Energies are from GGA-PBE.

Energy relative to the lowest polymorph listed for this composition: 144 meV per atom
Energy of formation from the pure elements: 0.177 eV per atom

Cell lengths 6.9595, 12.1212, 6.7059 Å; angles 90.00, 90.03, 90.00 degrees
Space group C2/m (No. 12)
Unique sites:
La 0.0000 0.0000 0.0000 [2 per cell]
Pr 0.0444 0.5000 0.7438 [4 per cell]
Pr 0.1679 0.2569 0.2562 [8 per cell]
Th 0.0000 0.0000 0.5000 [2 per cell]

Here is a relaxed structure of PaAg2PO8 from the Alexandria database. Energies are from GGA-PBE.

ΔE_f (raw): -1.059 eV per atom

Cell lengths 5.0947, 5.0947, 5.9965 Å; angles 90.00, 90.00, 120.00 degrees
Space group P-3m1 (No. 164)
Unique sites:
Pa 0.0000 0.0000 0.0000 [1 per cell]
Ag 0.3333 0.6667 0.3628 [2 per cell]
P 0.0000 0.0000 0.5000 [1 per cell]
O 0.1519 0.3038 0.6757 [6 per cell]
O 0.3333 0.6667 0.0355 [2 per cell]

Here is a relaxed structure of TiAgSbTe2 from the Alexandria database. Energies are from GGA-PBE.

Energy relative to the lowest polymorph listed for this composition: 0 meV per atom
ΔE_f (raw): 0.182 eV per atom

Cell lengths 5.3071, 5.3071, 5.3105 Å; angles 90.00, 90.00, 90.00 degrees
Space group P4/mmm (No. 123)
Unique sites:
Ti 0.0000 0.0000 0.0000 [1 per cell]
Ag 0.5000 0.5000 0.5000 [1 per cell]
Sb 0.0000 0.0000 0.5000 [1 per cell]
Te 0.0000 0.5000 0.0000 [2 per cell]

Here is a relaxed structure of Fe2CuMo from the Alexandria database. Energies are from GGA-PBE.

Energy relative to the lowest polymorph listed for this composition: 0 meV per atom
Energy of formation from the pure elements: 0.150 eV per atom

Cell lengths 3.1065, 4.0695, 8.1814 Å; angles 90.00, 90.00, 90.00 degrees
Space group Cmm2 (No. 35)
Unique sites:
Fe 0.0000 0.0000 0.0000 [2 per cell]
Fe 0.0000 0.5000 0.2302 [2 per cell]
Cu 0.0000 0.5000 0.7582 [2 per cell]
Mo 0.0000 0.0000 0.4886 [2 per cell]

Here is a relaxed structure of Tl5CuO8 from the Alexandria database. Energies are from GGA-PBE.

ΔE_f (raw): -0.562 eV per atom

Cell lengths 7.7518, 7.7518, 6.9978 Å; angles 90.00, 90.00, 90.00 degrees
Space group I-4 (No. 82)
Unique sites:
Tl 0.0000 0.0000 0.0000 [2 per cell]
Tl 0.1874 0.7573 0.6120 [8 per cell]
Cu 0.0000 0.5000 0.2500 [2 per cell]
O 0.0474 0.7440 0.3319 [8 per cell]
O 0.0480 0.7390 0.8919 [8 per cell]

Here is a relaxed structure of Zr8SbTe2 from the Alexandria database. Energies are from GGA-PBE.

ΔE_f (raw): -0.296 eV per atom

Cell lengths 8.1753, 12.6094, 5.3857 Å; angles 90.00, 109.95, 90.00 degrees
Space group C2/m (No. 12)
Unique sites:
Zr 0.0000 0.2356 0.0000 [4 per cell]
Zr 0.1133 0.5000 0.8364 [4 per cell]
Zr 0.2010 0.1149 0.6096 [8 per cell]
Sb 0.0000 0.0000 0.0000 [2 per cell]
Te 0.0000 0.3125 0.5000 [4 per cell]

Here is a relaxed structure of Li2B2Rh3 from the Alexandria database. Energies are from GGA-PBE.

Energy of formation from the pure elements: -0.492 eV per atom

Cell lengths 5.8466, 9.4812, 2.8381 Å; angles 90.00, 90.00, 90.00 degrees
Space group Pbam (No. 55)
Unique sites:
Li 0.1614 0.0728 0.0000 [4 per cell]
B 0.0620 0.3296 0.0000 [4 per cell]
Rh 0.0000 0.5000 0.5000 [2 per cell]
Rh 0.1653 0.7807 0.5000 [4 per cell]

Here is a relaxed structure of Ca2LaSmTe4 from the Alexandria database. Energies are from GGA-PBE.

ΔE_f (raw): -1.540 eV per atom

Cell lengths 7.7487, 4.4739, 7.9132 Å; angles 90.00, 109.07, 90.00 degrees
Space group P2/m (No. 10)
Unique sites:
Ca 0.0000 0.0000 0.0000 [1 per cell]
Ca 0.5000 0.5000 0.0000 [1 per cell]
La 0.0000 0.5000 0.5000 [1 per cell]
Sm 0.5000 0.0000 0.5000 [1 per cell]
Te 0.2530 0.5000 0.2461 [2 per cell]
Te 0.2572 0.0000 0.7571 [2 per cell]

Here is a relaxed structure of Tm4AgRhAu2 from the Alexandria database. Energies are from GGA-PBE.

Energy of formation from the pure elements: -0.763 eV per atom

Cell lengths 4.9849, 4.9849, 24.2982 Å; angles 90.00, 90.00, 120.00 degrees
Space group R-3m (No. 166, hexagonal axes)
Unique sites:
Tm 0.0000 0.0000 0.1194 [6 per cell]
Tm 0.0000 0.0000 0.3702 [6 per cell]
Ag 0.0000 0.0000 0.5000 [3 per cell]
Rh 0.0000 0.0000 0.0000 [3 per cell]
Au 0.0000 0.0000 0.2447 [6 per cell]

Here is a relaxed structure of Sm2Er2Sc7 from the Alexandria database. Energies are from GGA-PBE.

Energy of formation from the pure elements: 0.174 eV per atom

Cell lengths 6.2011, 10.9677, 9.1221 Å; angles 90.00, 103.54, 90.00 degrees
Space group C2/m (No. 12)
Unique sites:
Sm 0.0000 0.1995 0.0000 [4 per cell]
Er 0.0484 0.0000 0.7078 [4 per cell]
Sc 0.0000 0.5000 0.5000 [2 per cell]
Sc 0.1072 0.5000 0.8651 [4 per cell]
Sc 0.1440 0.2771 0.3407 [8 per cell]

Here is a relaxed structure of KCr2Si2 from the Alexandria database. Energies are from GGA-PBE.

Energy relative to the lowest polymorph listed for this composition: 0 meV per atom
ΔE_f (raw): 0.327 eV per atom

Cell lengths 3.8292, 3.8292, 12.0959 Å; angles 90.00, 90.00, 90.00 degrees
Space group I4/mmm (No. 139)
Unique sites:
K 0.0000 0.0000 0.0000 [2 per cell]
Cr 0.0000 0.5000 0.2500 [4 per cell]
Si 0.0000 0.0000 0.3720 [4 per cell]

Here is a relaxed structure of La2CoBiPb from the Alexandria database. Energies are from GGA-PBE.

Energy of formation from the pure elements: -0.511 eV per atom

Cell lengths 5.3928, 5.3928, 4.9717 Å; angles 90.00, 90.00, 90.00 degrees
Space group P4/mmm (No. 123)
Unique sites:
La 0.0000 0.5000 0.0000 [2 per cell]
Co 0.0000 0.0000 0.0000 [1 per cell]
Bi 0.5000 0.5000 0.5000 [1 per cell]
Pb 0.0000 0.0000 0.5000 [1 per cell]

Here is a relaxed structure of Ce2Pr3YSe6 from the Alexandria database. Energies are from GGA-PBE.

ΔE_f (raw): -1.829 eV per atom

Cell lengths 7.2826, 12.6309, 7.3260 Å; angles 90.00, 109.45, 90.00 degrees
Space group C2/m (No. 12)
Unique sites:
Ce 0.0000 0.1661 0.0000 [4 per cell]
Pr 0.0000 0.0000 0.5000 [2 per cell]
Pr 0.0000 0.3325 0.5000 [4 per cell]
Y 0.0000 0.5000 0.0000 [2 per cell]
Se 0.2441 0.3358 0.2406 [8 per cell]
Se 0.2472 0.5000 0.7578 [4 per cell]

Here is a relaxed structure of Sm5Dy5Tm2 from the Alexandria database. Energies are from GGA-PBE.

Energy of formation from the pure elements: 0.018 eV per atom

Cell lengths 15.1489, 5.0434, 11.2768 Å; angles 90.00, 116.60, 90.00 degrees
Space group C2/m (No. 12)
Unique sites:
Sm 0.0000 0.0000 0.0000 [2 per cell]
Sm 0.0823 0.0000 0.7480 [4 per cell]
Sm 0.2498 0.0000 0.2516 [4 per cell]
Dy 0.0000 0.5000 0.5000 [2 per cell]
Dy 0.0845 0.5000 0.2525 [4 per cell]
Dy 0.1667 0.5000 0.9997 [4 per cell]
Tm 0.1671 0.0000 0.4996 [4 per cell]

Here is a relaxed structure of K2CeSe2Br2 from the Alexandria database. Energies are from GGA-PBE.

ΔE_f (raw): -1.606 eV per atom

Cell lengths 5.5865, 5.5865, 16.7490 Å; angles 90.00, 90.00, 90.00 degrees
Space group I4/mmm (No. 139)
Unique sites:
K 0.0000 0.0000 0.1303 [4 per cell]
Ce 0.0000 0.0000 0.5000 [2 per cell]
Se 0.0000 0.5000 0.0000 [4 per cell]
Br 0.0000 0.0000 0.3275 [4 per cell]

Here is a relaxed structure of CrCdCu2 from the Alexandria database. Energies are from GGA-PBE.

Energy of formation from the pure elements: 0.353 eV per atom

Cell lengths 2.7831, 2.7831, 26.4619 Å; angles 90.00, 90.00, 120.00 degrees
Space group R-3m (No. 166, hexagonal axes)
Unique sites:
Cr 0.0000 0.0000 0.0000 [3 per cell]
Cd 0.0000 0.0000 0.5000 [3 per cell]
Cu 0.0000 0.0000 0.2568 [6 per cell]